A plane-wave DFT calculation with GGA-PBE was carried out for an optimized crystal structure of CsTlGa2.

a = 10.684 Å, b = 10.684 Å, c = 10.684 Å
α = 149.24°, β = 149.24°, γ = 44.05°
Element x y z (fractional)
Cs (0.375, 0.625, 0.750)
Cs (0.625, 0.375, 0.250)
Tl (0.125, 0.875, 0.250)
Tl (0.875, 0.125, 0.750)
Ga (0.000, 0.000, 0.000)
Ga (0.000, 0.000, 0.500)
Ga (0.000, 0.500, 0.000)
Ga (0.500, 0.000, 0.500)

V   39.8 Å³/atom
Energy of formation   0.120 eV per atom
Calculated total energy   -0.162 Ry per atom
SG   I4_1/amd (141)
Mass density   4.98 g/cm3

A plane-wave DFT calculation with GGA-PBE was carried out for an optimized crystal structure of AcPmTe2.

a = 4.487 Å, b = 4.487 Å, c = 15.796 Å
α = 90.00°, β = 90.00°, γ = 120.00°
Element x y z (fractional)
Ac (0.333, 0.667, 0.250)
Ac (0.667, 0.333, 0.750)
Pm (0.000, 0.000, 0.000)
Pm (0.000, 0.000, 0.500)
Te (0.333, 0.667, 0.616)
Te (0.333, 0.667, 0.884)
Te (0.667, 0.333, 0.116)
Te (0.667, 0.333, 0.384)

V   34.4 Å³/atom
Calculated total energy   -0.384 Ry per atom
SG   P6_3/mmc (194)
Mass density   7.56 g/cm3
Formation energy without anion corrections   -1.438 eV per atom

A plane-wave DFT calculation with GGA-PBE was carried out for an optimized crystal structure of NpUMnIr.

a = 4.582 Å, b = 4.582 Å, c = 4.582 Å
α = 60.00°, β = 60.00°, γ = 60.00°
Element x y z (fractional)
Np (0.000, 0.000, 0.000)
U (0.250, 0.250, 0.250)
Mn (0.750, 0.750, 0.750)
Ir (0.500, 0.500, 0.500)

V   17.0 Å³/atom
Energy of formation   -0.288 eV per atom
Calculated total energy   -0.798 Ry per atom
SG   F-43m (216)
Mass density   17.63 g/cm3

A plane-wave DFT calculation with GGA-PBE was carried out for an optimized crystal structure of DyIn2Pt9.

a = 4.077 Å, b = 4.077 Å, c = 12.193 Å
α = 90.00°, β = 90.00°, γ = 90.00°
Element x y z (fractional)
Dy (0.000, 0.000, 0.000)
In (0.000, 0.000, 0.336)
In (0.000, 0.000, 0.664)
Pt (0.000, 0.500, 0.171)
Pt (0.000, 0.500, 0.500)
Pt (0.000, 0.500, 0.829)
Pt (0.500, 0.000, 0.171)
Pt (0.500, 0.000, 0.500)
Pt (0.500, 0.000, 0.829)
Pt (0.500, 0.500, 0.000)
Pt (0.500, 0.500, 0.335)
Pt (0.500, 0.500, 0.665)

V   16.9 Å³/atom
Energy of formation   -0.593 eV per atom
Calculated total energy   -0.438 Ry per atom
SG   P4/mmm (123)
Mass density   17.60 g/cm3

A plane-wave DFT calculation with GGA-PBE was carried out for an optimized crystal structure of PtPbW3.

a = 4.914 Å, b = 4.914 Å, c = 4.914 Å
α = 90.00°, β = 90.00°, γ = 90.00°
Element x y z (fractional)
Pt (0.000, 0.000, 0.000)
Pb (0.500, 0.500, 0.500)
W (0.000, 0.500, 0.500)
W (0.500, 0.000, 0.500)
W (0.500, 0.500, 0.000)

V   23.7 Å³/atom
Energy of formation   3.281 eV per atom
Calculated total energy   -0.473 Ry per atom
SG   Pm-3m (221)
Mass density   13.35 g/cm3

A plane-wave DFT calculation with GGA-PBE was carried out for an optimized crystal structure of SrNbBr2.

a = 9.919 Å, b = 9.919 Å, c = 9.919 Å
α = 21.92°, β = 21.92°, γ = 21.92°
Element x y z (fractional)
Sr (0.000, 0.000, 0.000)
Nb (0.500, 0.500, 0.500)
Br (0.408, 0.408, 0.408)
Br (0.592, 0.592, 0.592)

V   29.8 Å³/atom
Calculated total energy   -0.296 Ry per atom
SG   R-3m (166)
Mass density   4.74 g/cm3
Formation energy without anion corrections   -0.249 eV per atom

Q: mass density of number 2 (AcPmTe2)?
A: 7.56 g/cm3